VASP calculation (PBE-GGA) on a relaxed structure of Tl3Te12Se5.

a b c (Å): 15.4931 15.4931 15.4931
angles (deg): 109.47 109.47 109.47
Closest atoms and distances in Å follow each position.
Fractional positions:
Tl: 0.1250 0.2500 0.3750  8 Te 3.38-3.52
Tl: 0.1250 0.3750 0.7500  8 Te 3.38-3.52
Tl: 0.2500 0.3750 0.1250  8 Te 3.38-3.52
Tl: 0.2500 0.8750 0.6250  8 Te 3.38-3.52
Tl: 0.3750 0.1250 0.2500  8 Te 3.38-3.52
Tl: 0.3750 0.7500 0.1250  8 Te 3.38-3.52
Tl: 0.6250 0.2500 0.8750  8 Te 3.38-3.52
Tl: 0.6250 0.8750 0.7500  8 Te 3.38-3.52
Tl: 0.7500 0.1250 0.3750  8 Te 3.38-3.52
Tl: 0.7500 0.6250 0.8750  8 Te 3.38-3.52
Tl: 0.8750 0.6250 0.2500  8 Te 3.38-3.52
Tl: 0.8750 0.7500 0.6250  8 Te 3.38-3.52
Te: 0.0362 0.2080 0.1163  2 Se 2.82-2.86
Te: 0.0362 0.3282 0.9200  2 Se 2.82-2.86
Te: 0.0800 0.6163 0.4082  2 Se 2.82-2.86
Te: 0.0800 0.9638 0.6718  2 Se 2.82-2.86
Te: 0.0918 0.7080 0.6718  2 Se 2.82-2.86
Te: 0.0918 0.8837 0.4200  2 Se 2.82-2.86
Te: 0.1163 0.0362 0.2080  2 Se 2.82-2.86
Te: 0.1163 0.5800 0.9082  2 Se 2.82-2.86
Te: 0.1718 0.2080 0.5918  2 Se 2.82-2.86
Te: 0.1718 0.4638 0.5800  2 Se 2.82-2.86
Te: 0.2080 0.1163 0.0362  2 Se 2.82-2.86
Te: 0.2080 0.5918 0.1718  2 Se 2.82-2.86
Te: 0.2920 0.3282 0.9082  2 Se 2.82-2.86
Te: 0.2920 0.4638 0.3837  2 Se 2.82-2.86
Te: 0.3282 0.9082 0.2920  2 Se 2.82-2.86
Te: 0.3282 0.9200 0.0362  2 Se 2.82-2.86
Te: 0.3837 0.2920 0.4638  2 Se 2.82-2.86
Te: 0.3837 0.5918 0.9200  2 Se 2.82-2.86
Te: 0.4082 0.0800 0.6163  2 Se 2.82-2.86
Te: 0.4082 0.8282 0.7920  2 Se 2.82-2.86
Te: 0.4200 0.0918 0.8837  2 Se 2.82-2.86
Te: 0.4200 0.8282 0.5362  2 Se 2.82-2.86
Te: 0.4638 0.3837 0.2920  2 Se 2.82-2.86
Te: 0.4638 0.5800 0.1718  2 Se 2.82-2.86
Te: 0.5362 0.4200 0.8282  2 Se 2.82-2.86
Te: 0.5362 0.6163 0.7080  2 Se 2.82-2.86
Te: 0.5800 0.1718 0.4638  2 Se 2.82-2.86
Te: 0.5800 0.9082 0.1163  2 Se 2.82-2.86
Te: 0.5918 0.1718 0.2080  2 Se 2.82-2.86
Te: 0.5918 0.9200 0.3837  2 Se 2.82-2.86
Te: 0.6163 0.4082 0.0800  2 Se 2.82-2.86
Te: 0.6163 0.7080 0.5362  2 Se 2.82-2.86
Te: 0.6718 0.0800 0.9638  2 Se 2.82-2.86
Te: 0.6718 0.0918 0.7080  2 Se 2.82-2.86
Te: 0.7080 0.5362 0.6163  2 Se 2.82-2.86
Te: 0.7080 0.6718 0.0918  2 Se 2.82-2.86
Te: 0.7920 0.4082 0.8282  2 Se 2.82-2.86
Te: 0.7920 0.8837 0.9638  2 Se 2.82-2.86
Te: 0.8282 0.5362 0.4200  2 Se 2.82-2.86
Te: 0.8282 0.7920 0.4082  2 Se 2.82-2.86
Te: 0.8837 0.4200 0.0918  2 Se 2.82-2.86
Te: 0.8837 0.9638 0.7920  2 Se 2.82-2.86
Te: 0.9082 0.1163 0.5800  2 Se 2.82-2.86
Te: 0.9082 0.2920 0.3282  2 Se 2.82-2.86
Te: 0.9200 0.0362 0.3282  2 Se 2.82-2.86
Te: 0.9200 0.3837 0.5918  2 Se 2.82-2.86
Te: 0.9638 0.6718 0.0800  2 Se 2.82-2.86
Te: 0.9638 0.7920 0.8837  2 Se 2.82-2.86
Se: 0.0000 0.0000 0.0000  6 Te 2.86
Se: 0.0000 0.0000 0.5000  6 Te 2.86
Se: 0.0000 0.5000 0.0000  6 Te 2.86
Se: 0.0000 0.5000 0.5000  6 Te 2.86
Se: 0.1250 0.7500 0.8750  4 Te 2.82
Se: 0.1250 0.8750 0.2500  4 Te 2.82
Se: 0.2500 0.1250 0.8750  4 Te 2.82
Se: 0.2500 0.6250 0.3750  4 Te 2.82
Se: 0.3750 0.2500 0.6250  4 Te 2.82
Se: 0.3750 0.6250 0.7500  4 Te 2.82
Se: 0.5000 0.0000 0.0000  6 Te 2.86
Se: 0.5000 0.0000 0.5000  6 Te 2.86
Se: 0.5000 0.5000 0.0000  6 Te 2.86
Se: 0.5000 0.5000 0.5000  6 Te 2.86
Se: 0.6250 0.3750 0.2500  4 Te 2.82
Se: 0.6250 0.7500 0.3750  4 Te 2.82
Se: 0.7500 0.3750 0.6250  4 Te 2.82
Se: 0.7500 0.8750 0.1250  4 Te 2.82
Se: 0.8750 0.1250 0.7500  4 Te 2.82
Se: 0.8750 0.2500 0.1250  4 Te 2.82

Magnetization (Bohr magnetons per cell): 0.00
Crystal system: cubic
D(E_F) (states/eV per atom): 0.859
Electronic total energy (eV/cell): -232.3

---

VASP calculation (PBE-GGA) on a relaxed structure of TlTeSe2.

a b c (Å): 4.0310 4.0345 8.2318
angles (deg): 90.00 90.00 90.00
Closest atoms and distances in Å follow each position.
Fractional positions:
Tl: 0.0000 0.0000 0.0000  4 Se 2.85
Te: 0.0000 0.5000 0.5000  4 Se 2.85
Se: 0.5000 0.0000 0.5000  4 Te 2.85
Se: 0.5000 0.5000 0.0000  4 Tl 2.85

Magnetization (Bohr magnetons per cell): 0.00
Crystal system: orthorhombic
Offset from the most stable computed form (meV per atom): 170
D(E_F) (states/eV per atom): 0.698
Electronic total energy (eV/cell): -12.4

---

VASP calculation (PBE-GGA) on a relaxed structure of Tl2TeSe2.

a b c (Å): 11.1153 11.1153 6.2440
angles (deg): 90.00 90.00 154.49
Closest atoms and distances in Å follow each position.
Fractional positions:
Tl: 0.0361 0.9639 0.5000  3 Se 3.11-3.40
Tl: 0.2064 0.7936 0.6737  4 Se 3.24-3.27
Tl: 0.7936 0.2064 0.1737  4 Se 3.24-3.27
Tl: 0.9639 0.0361 0.0000  3 Se 3.11-3.40
Te: 0.3884 0.6116 0.6387  3 Se 2.70-2.92
Te: 0.6116 0.3884 0.1387  3 Se 2.70-2.92
Se: 0.1620 0.8380 0.1747  2 Te 2.70
Se: 0.3908 0.6092 0.1710  1 Te 2.92, 4 Tl 3.11-3.24
Se: 0.6092 0.3908 0.6710  1 Te 2.92, 4 Tl 3.11-3.24
Se: 0.8380 0.1620 0.6747  2 Te 2.70

Magnetization (Bohr magnetons per cell): 0.00
Crystal system: orthorhombic
D(E_F) (states/eV per atom): 0.196
Electronic total energy (eV/cell): -31.6

---

VASP calculation (PBE-GGA) on a relaxed structure of TlTe2Se2.

a b c (Å): 9.0988 9.0988 3.5805
angles (deg): 90.00 90.00 90.00
Closest atoms and distances in Å follow each position.
Fractional positions:
Tl: 0.0000 0.0000 0.0000  2 Tl 3.58, 4 Se 3.66, 8 Te 3.70
Tl: 0.5000 0.5000 0.0000  2 Tl 3.58, 4 Se 3.66, 8 Te 3.70
Te: 0.2254 0.2746 0.5000  2 Se 2.73
Te: 0.2746 0.7746 0.5000  2 Se 2.73
Te: 0.7254 0.2254 0.5000  2 Se 2.73
Te: 0.7746 0.7254 0.5000  2 Se 2.73
Se: 0.1145 0.6145 0.0000  2 Te 2.73, 1 Se 2.95
Se: 0.3855 0.1145 0.0000  2 Te 2.73, 1 Se 2.95
Se: 0.6145 0.8855 0.0000  2 Te 2.73, 1 Se 2.95
Se: 0.8855 0.3855 0.0000  2 Te 2.73, 1 Se 2.95

Magnetization (Bohr magnetons per cell): 0.00
Crystal system: tetragonal
Offset from the most stable computed form (meV per atom): 46
D(E_F) (states/eV per atom): 0.452
Electronic total energy (eV/cell): -30.9

---

VASP calculation (PBE-GGA) on a relaxed structure of Tl2TeSe2.

a b c (Å): 7.7129 7.7129 7.7945
angles (deg): 107.44 107.44 49.79
Closest atoms and distances in Å follow each position.
Fractional positions:
Tl: 0.0062 0.0062 0.2763  4 Se 3.10-3.27
Tl: 0.2988 0.2988 0.8385  5 Se 3.10-3.39
Tl: 0.7012 0.7012 0.1615  5 Se 3.10-3.39
Tl: 0.9938 0.9938 0.7237  4 Se 3.10-3.27
Te: 0.3437 0.3437 0.4040  2 Se 2.59-2.69
Te: 0.6563 0.6563 0.5960  2 Se 2.59-2.69
Se: 0.1773 0.1773 0.1063  1 Te 2.69
Se: 0.4765 0.4765 0.2387  1 Te 2.59
Se: 0.5235 0.5235 0.7613  1 Te 2.59
Se: 0.8227 0.8227 0.8937  1 Te 2.69

Magnetization (Bohr magnetons per cell): 0.00
Crystal system: monoclinic
D(E_F) (states/eV per atom): 0.008
Electronic total energy (eV/cell): -31.9

---

VASP calculation (PBE-GGA) on a relaxed structure of TlTeSe3.

a b c (Å): 9.5925 9.5925 7.2062
angles (deg): 94.92 94.92 84.12
Closest atoms and distances in Å follow each position.
Fractional positions:
Tl: 0.0817 0.2687 0.2983  4 Se 2.81-3.02
Tl: 0.2687 0.0817 0.7983  4 Se 2.81-3.02
Tl: 0.7313 0.9183 0.2017  4 Se 2.81-3.02
Tl: 0.9183 0.7313 0.7017  4 Se 2.81-3.02
Te: 0.2525 0.7475 0.2500  6 Se 2.74-2.93
Te: 0.4135 0.5865 0.7500  6 Se 2.74-2.98
Te: 0.5865 0.4135 0.2500  6 Se 2.74-2.98
Te: 0.7475 0.2525 0.7500  6 Se 2.74-2.93
Se: 0.0223 0.2461 0.6684  1 Te 2.74, 2 Tl 2.81-2.84
Se: 0.1610 0.6048 0.9068  2 Te 2.74-2.84, 1 Tl 2.87
Se: 0.2461 0.0223 0.1684  1 Te 2.74, 2 Tl 2.81-2.84
Se: 0.3032 0.4703 0.3971  3 Te 2.85-2.98, 1 Tl 3.02
Se: 0.3952 0.8390 0.5932  2 Te 2.74-2.84, 1 Tl 2.87
Se: 0.4703 0.3032 0.8971  3 Te 2.85-2.98, 1 Tl 3.02
Se: 0.5297 0.6968 0.1029  3 Te 2.85-2.98, 1 Tl 3.02
Se: 0.6048 0.1610 0.4068  2 Te 2.74-2.84, 1 Tl 2.87
Se: 0.6968 0.5297 0.6029  3 Te 2.85-2.98, 1 Tl 3.02
Se: 0.7539 0.9777 0.8316  1 Te 2.74, 2 Tl 2.81-2.84
Se: 0.8390 0.3952 0.0932  2 Te 2.74-2.84, 1 Tl 2.87
Se: 0.9777 0.7539 0.3316  1 Te 2.74, 2 Tl 2.81-2.84

Magnetization (Bohr magnetons per cell): 0.00
Crystal system: monoclinic
Offset from the most stable computed form (meV per atom): 21
D(E_F) (states/eV per atom): 0.529
Electronic total energy (eV/cell): -64.1

---

VASP calculation (PBE-GGA) on a relaxed structure of TlTe2Se2.

a b c (Å): 4.3724 4.3724 17.2962
angles (deg): 90.00 90.00 90.00
Closest atoms and distances in Å follow each position.
Fractional positions:
Tl: 0.0000 0.0000 0.0000  8 Se 3.30
Tl: 0.5000 0.5000 0.5000  8 Se 3.30
Te: 0.0000 0.5000 0.2500  4 Te 3.09
Te: 0.0000 0.5000 0.7500  4 Te 3.09
Te: 0.5000 0.0000 0.2500  4 Te 3.09
Te: 0.5000 0.0000 0.7500  4 Te 3.09
Se: 0.0000 0.0000 0.4327  1 Se 2.33
Se: 0.0000 0.0000 0.5673  1 Se 2.33
Se: 0.5000 0.5000 0.0673  1 Se 2.33
Se: 0.5000 0.5000 0.9327  1 Se 2.33

Magnetization (Bohr magnetons per cell): 0.00
Crystal system: tetragonal
Offset from the most stable computed form (meV per atom): 74
D(E_F) (states/eV per atom): 1.111
Electronic total energy (eV/cell): -30.6

---

VASP calculation (PBE-GGA) on a relaxed structure of TlTe3Se.

a b c (Å): 5.7407 5.7407 5.7407
angles (deg): 90.00 90.00 90.00
Closest atoms and distances in Å follow each position.
Fractional positions:
Tl: 0.0000 0.0000 0.0000  6 Te 2.87
Te: 0.0000 0.0000 0.5000  2 Tl 2.87
Te: 0.0000 0.5000 0.0000  2 Tl 2.87
Te: 0.5000 0.0000 0.0000  2 Tl 2.87
Se: 0.5000 0.5000 0.5000  12 Te 4.06

Magnetization (Bohr magnetons per cell): 0.85
Crystal system: cubic
Offset from the most stable computed form (meV per atom): 693
D(E_F) (states/eV per atom): 1.444
Electronic total energy (eV/cell): -10.8

---

VASP calculation (PBE-GGA) on a relaxed structure of TlTe2Se.

a b c (Å): 6.3474 12.0497 3.1032
angles (deg): 90.00 104.82 90.00
Closest atoms and distances in Å follow each position.
Fractional positions:
Tl: 0.0000 0.0000 0.0000  2 Tl 3.10, 2 Se 3.17
Tl: 0.5000 0.5000 0.0000  2 Tl 3.10, 2 Se 3.17
Te: 0.2500 0.2500 0.5000  4 Te 3.10-3.17
Te: 0.2500 0.7500 0.5000  4 Te 3.10-3.17
Te: 0.7500 0.2500 0.5000  4 Te 3.10-3.17
Te: 0.7500 0.7500 0.5000  4 Te 3.10-3.17
Se: 0.0000 0.5000 0.0000  2 Se 3.10, 2 Tl 3.17
Se: 0.5000 0.0000 0.0000  2 Se 3.10, 2 Tl 3.17

Magnetization (Bohr magnetons per cell): 0.00
Crystal system: monoclinic
D(E_F) (states/eV per atom): 0.735
Electronic total energy (eV/cell): -23.0

---

VASP calculation (PBE-GGA) on a relaxed structure of TlTe2Se.

a b c (Å): 6.1342 6.1342 16.7590
angles (deg): 90.00 90.00 90.00
Closest atoms and distances in Å follow each position.
Fractional positions:
Tl: 0.0000 0.0000 0.0000  4 Te 3.24
Tl: 0.0000 0.5000 0.2500  4 Te 3.24
Tl: 0.5000 0.0000 0.7500  4 Te 3.24
Tl: 0.5000 0.5000 0.5000  4 Te 3.24
Te: 0.1846 0.2500 0.6250  2 Se 2.83
Te: 0.2500 0.6846 0.8750  2 Se 2.83
Te: 0.2500 0.8154 0.3750  2 Se 2.83
Te: 0.3154 0.2500 0.1250  2 Se 2.83
Te: 0.6846 0.7500 0.1250  2 Se 2.83
Te: 0.7500 0.1846 0.3750  2 Se 2.83
Te: 0.7500 0.3154 0.8750  2 Se 2.83
Te: 0.8154 0.7500 0.6250  2 Se 2.83
Se: 0.0000 0.0000 0.5000  4 Te 2.83
Se: 0.0000 0.5000 0.7500  4 Te 2.83
Se: 0.5000 0.0000 0.2500  4 Te 2.83
Se: 0.5000 0.5000 0.0000  4 Te 2.83

Magnetization (Bohr magnetons per cell): 0.00
Crystal system: tetragonal
D(E_F) (states/eV per atom): 1.238
Electronic total energy (eV/cell): -47.0

---

> Which of these has the lowest electronic total energy?

Tl3Te12Se5